# 1
# Ce3Tl3GeSe8

Ce3Tl3GeSe8 after structural relaxation (PBE, Alexandria).

The structure in CIF format:
```
data_Ce3Tl3GeSe8
_chemical_formula_sum 'Ce3 Tl3 Ge1 Se8'
_space_group_name_H-M_alt 'P 1'
_space_group_IT_number 1
_cell_length_a 8.5060
_cell_length_b 8.5047
_cell_length_c 9.0970
_cell_angle_alpha 117.87
_cell_angle_beta 89.99
_cell_angle_gamma 119.99
loop_
_space_group_symop_operation_xyz
'x,y,z'
loop_
_atom_site_label
_atom_site_fract_x
_atom_site_fract_y
_atom_site_fract_z
Se1 0.2633 0.5266 0.2900
Tl1 0.5000 0.5000 0.0000
Tl2 0.0000 0.5000 0.0000
Se2 0.7693 0.0343 0.3038
Ce1 0.5000 0.5000 0.5000
Ce2 0.5000 0.0000 0.5000
Tl3 0.0000 0.0000 0.0000
Se3 0.2307 0.9657 0.6962
Ce3 0.0000 0.5000 0.5000
Se4 0.2307 0.4612 0.6962
Ge1 0.0000 0.0000 0.5000
Se5 0.7351 0.9657 0.6962
Se6 0.2649 0.0343 0.3038
Se7 0.7693 0.5388 0.3038
Se8 0.7367 0.4734 0.7100
```

Results
Formation energy from raw total energies in meV per atom: -1125
Theoretical density in g cm⁻³: 6.01
Calculated total energy in eV per atom: -4.95
Density of states at the Fermi level in states/eV/f.u.: 11.02

=====

# 2
# CaInSe2

CaInSe2 after structural relaxation (PBE, Alexandria).

The structure in CIF format:
```
data_CaInSe2
_chemical_formula_sum 'Ca1 In1 Se2'
_space_group_name_H-M_alt 'P 1'
_space_group_IT_number 1
_cell_length_a 3.7632
_cell_length_b 3.8789
_cell_length_c 7.5971
_cell_angle_alpha 74.01
_cell_angle_beta 90.00
_cell_angle_gamma 90.00
loop_
_space_group_symop_operation_xyz
'x,y,z'
loop_
_atom_site_label
_atom_site_fract_x
_atom_site_fract_y
_atom_site_fract_z
In1 0.5000 0.7500 0.7500
Se1 0.0000 0.8257 0.0278
Se2 0.0000 0.6743 0.4722
Ca1 0.5000 0.2500 0.2500
```

Results
Formation energy from raw total energies in meV per atom: -955
Theoretical density in g cm⁻³: 4.87
Calculated total energy in eV per atom: -3.88
Density of states at the Fermi level in states/eV/f.u.: 0.82